[1]
First-principles (GGA-PBE) data for crystalline BaHf3Ti at its relaxed geometry, as listed in Alexandria.

The structure belongs to space group Pm-3m (No. 221); the cell edges are 5.2033, 5.2033 and 5.2033 Å and the angles 90.00°, 90.00° and 90.00°. Symmetry generates all atoms from Ba at (0.0000, 0.0000, 0.0000), Hf at (0.0000, 0.5000, 0.5000) and Ti at (0.5000, 0.5000, 0.5000).

The energy above the most stable polymorph in this dataset comes out at 0 meV per atom. The formation energy comes out at 0.8334 eV per atom.

---

[2]
First-principles (GGA-PBE) data for crystalline BaHf2Ti at its relaxed geometry, as listed in Alexandria.

The structure belongs to space group I4_1/amd (No. 141, origin choice 2); the cell edges are 5.3808, 5.3808 and 19.9638 Å and the angles 90.00°, 90.00° and 90.00°. Symmetry generates all atoms from Ba at (0.0000, 0.2500, 0.3750), Hf at (0.0000, 0.0000, 0.0000) and Ti at (0.0000, 0.2500, 0.8750).

The energy above the most stable polymorph in this dataset comes out at 422 meV per atom. The formation energy comes out at 1.2911 eV per atom.

---

[3]
First-principles (GGA-PBE) data for crystalline BaHf2Ti at its relaxed geometry, as listed in Alexandria.

The structure belongs to space group Fm-3m (No. 225); the cell edges are 7.3658, 7.3658 and 7.3658 Å and the angles 90.00°, 90.00° and 90.00°. Symmetry generates all atoms from Ba at (0.0000, 0.0000, 0.0000), Hf at (0.2500, 0.2500, 0.2500) and Ti at (0.0000, 0.0000, 0.5000).

The energy above the most stable polymorph in this dataset comes out at 0 meV per atom. The formation energy comes out at 0.8690 eV per atom.

---

[4]
First-principles (GGA-PBE) data for crystalline BaHfTiTl2 at its relaxed geometry, as listed in Alexandria.

The structure belongs to space group P4/mmm (No. 123); the cell edges are 5.5848, 5.5848 and 4.9367 Å and the angles 90.00°, 90.00° and 90.00°. Symmetry generates all atoms from Ba at (0.0000, 0.0000, 0.0000), Hf at (0.5000, 0.5000, 0.0000), Ti at (0.5000, 0.5000, 0.5000) and Tl at (0.0000, 0.5000, 0.5000).

The formation energy comes out at 0.2861 eV per atom.

---

[5]
First-principles (GGA-PBE) data for crystalline BaHfTiW2 at its relaxed geometry, as listed in Alexandria.

The structure belongs to space group P4/mmm (No. 123); the cell edges are 5.0268, 5.0268 and 5.1334 Å and the angles 90.00°, 90.00° and 90.00°. Symmetry generates all atoms from Ba at (0.0000, 0.0000, 0.0000), Hf at (0.5000, 0.5000, 0.5000), Ti at (0.5000, 0.5000, 0.0000) and W at (0.0000, 0.5000, 0.5000).

The formation energy comes out at 1.7385 eV per atom.

---

[6]
First-principles (GGA-PBE) data for crystalline BaHfTi2W at its relaxed geometry, as listed in Alexandria.

The structure belongs to space group P4/mmm (No. 123); the cell edges are 5.0205, 5.0205 and 5.2284 Å and the angles 90.00°, 90.00° and 90.00°. Symmetry generates all atoms from Ba at (0.0000, 0.0000, 0.0000), Hf at (0.5000, 0.5000, 0.0000), Ti at (0.0000, 0.5000, 0.5000) and W at (0.5000, 0.5000, 0.5000).

The formation energy comes out at 0.7425 eV per atom.

---

[7]
First-principles (GGA-PBE) data for crystalline Ba2HfTiW at its relaxed geometry, as listed in Alexandria.

The structure belongs to space group P4/mmm (No. 123); the cell edges are 5.9318, 5.9318 and 5.1352 Å and the angles 90.00°, 90.00° and 90.00°. Symmetry generates all atoms from Ba at (0.0000, 0.5000, 0.0000), Hf at (0.0000, 0.0000, 0.5000), Ti at (0.5000, 0.5000, 0.5000) and W at (0.0000, 0.0000, 0.0000).

The formation energy comes out at 1.5230 eV per atom.

---

[8]
First-principles (GGA-PBE) data for crystalline BaHfTl3 at its relaxed geometry, as listed in Alexandria.

The structure belongs to space group Pm-3m (No. 221); the cell edges are 5.6469, 5.6469 and 5.6469 Å and the angles 90.00°, 90.00° and 90.00°. Symmetry generates all atoms from Ba at (0.0000, 0.0000, 0.0000), Hf at (0.5000, 0.5000, 0.5000) and Tl at (0.0000, 0.5000, 0.5000).

The energy above the most stable polymorph in this dataset comes out at 0 meV per atom. The formation energy comes out at 0.0273 eV per atom.

---

[9]
First-principles (GGA-PBE) data for crystalline BaHfTl2 at its relaxed geometry, as listed in Alexandria.

The structure belongs to space group I-42d (No. 122); the cell edges are 5.7176, 5.7176 and 19.2432 Å and the angles 90.00°, 90.00° and 90.00°. Symmetry generates all atoms from Ba at (0.0000, 0.0000, 0.0000), Hf at (0.0000, 0.0000, 0.5000) and Tl at (0.1337, 0.2500, 0.6250).

The formation energy comes out at 0.3863 eV per atom.

---

[10]
First-principles (GGA-PBE) data for crystalline Ba2HfTl at its relaxed geometry, as listed in Alexandria.

The structure belongs to space group Fm-3m (No. 225); the cell edges are 8.3973, 8.3973 and 8.3973 Å and the angles 90.00°, 90.00° and 90.00°. Symmetry generates all atoms from Ba at (0.2500, 0.2500, 0.2500), Hf at (0.0000, 0.0000, 0.0000) and Tl at (0.0000, 0.0000, 0.5000).

The energy above the most stable polymorph in this dataset comes out at 0 meV per atom. The formation energy comes out at 0.4720 eV per atom.

---

[11]
First-principles (GGA-PBE) data for crystalline BaHfTl3 at its relaxed geometry, as listed in Alexandria.

The structure belongs to space group Pm-3m (No. 221); the cell edges are 6.1708, 6.1708 and 6.1708 Å and the angles 90.00°, 90.00° and 90.00°. Symmetry generates all atoms from Ba at (0.0000, 0.0000, 0.0000), Hf at (0.5000, 0.5000, 0.5000) and Tl at (0.0000, 0.0000, 0.5000).

The energy above the most stable polymorph in this dataset comes out at 1390 meV per atom. The formation energy comes out at 1.4170 eV per atom.

---

[12]
First-principles (GGA-PBE) data for crystalline Ba3HfTl at its relaxed geometry, as listed in Alexandria.

The structure belongs to space group Pm-3m (No. 221); the cell edges are 6.3261, 6.3261 and 6.3261 Å and the angles 90.00°, 90.00° and 90.00°. Symmetry generates all atoms from Ba at (0.0000, 0.0000, 0.5000), Hf at (0.0000, 0.0000, 0.0000) and Tl at (0.5000, 0.5000, 0.5000).

The energy above the most stable polymorph in this dataset comes out at 0 meV per atom. The formation energy comes out at 0.6880 eV per atom.

---

[13]
First-principles (GGA-PBE) data for crystalline Ba2HfTl2 at its relaxed geometry, as listed in Alexandria.

The structure belongs to space group P4/mbm (No. 127); the cell edges are 7.9830, 7.9830 and 5.6608 Å and the angles 90.00°, 90.00° and 90.00°. Symmetry generates all atoms from Ba at (0.1701, 0.3299, 0.0000), Hf at (0.0000, 0.0000, 0.5000) and Tl at (0.1471, 0.6471, 0.5000).

The formation energy comes out at 0.1113 eV per atom.

---

[14]
First-principles (GGA-PBE) data for crystalline Ba2HfTl at its relaxed geometry, as listed in Alexandria.

The structure belongs to space group I-42d (No. 122); the cell edges are 9.4119, 9.4119 and 6.6607 Å and the angles 90.00°, 90.00° and 90.00°. Symmetry generates all atoms from Ba at (0.2456, 0.2500, 0.1250), Hf at (0.0000, 0.0000, 0.5000) and Tl at (0.0000, 0.0000, 0.0000).

The energy above the most stable polymorph in this dataset comes out at 162 meV per atom. The formation energy comes out at 0.6336 eV per atom.

---

[15]
First-principles (GGA-PBE) data for crystalline BaHf2V at its relaxed geometry, as listed in Alexandria.

The structure belongs to space group Fd-3m (No. 227, origin choice 2); the cell edges are 10.5968, 10.5968 and 10.5968 Å and the angles 90.00°, 90.00° and 90.00°. Symmetry generates all atoms from Ba at (0.1250, 0.1250, 0.1250), Hf at (0.0000, 0.0000, 0.5000) and V at (0.1250, 0.1250, 0.6250).

The energy above the most stable polymorph in this dataset comes out at 270 meV per atom. The formation energy comes out at 1.2303 eV per atom.

---

[16]
First-principles (GGA-PBE) data for crystalline BaHfV3 at its relaxed geometry, as listed in Alexandria.

The structure belongs to space group Pm-3m (No. 221); the cell edges are 5.1403, 5.1403 and 5.1403 Å and the angles 90.00°, 90.00° and 90.00°. Symmetry generates all atoms from Ba at (0.0000, 0.0000, 0.0000), Hf at (0.5000, 0.5000, 0.5000) and V at (0.0000, 0.5000, 0.5000).

The energy above the most stable polymorph in this dataset comes out at 0 meV per atom. The formation energy comes out at 1.3626 eV per atom.

---

[17]
First-principles (GGA-PBE) data for crystalline BaHf3V at its relaxed geometry, as listed in Alexandria.

The structure belongs to space group Pm-3m (No. 221); the cell edges are 5.1240, 5.1240 and 5.1240 Å and the angles 90.00°, 90.00° and 90.00°. Symmetry generates all atoms from Ba at (0.0000, 0.0000, 0.0000), Hf at (0.0000, 0.5000, 0.5000) and V at (0.5000, 0.5000, 0.5000).

The energy above the most stable polymorph in this dataset comes out at 0 meV per atom. The formation energy comes out at 0.7211 eV per atom.

---

[18]
First-principles (GGA-PBE) data for crystalline Ba2HfV at its relaxed geometry, as listed in Alexandria.

The structure belongs to space group I-42d (No. 122); the cell edges are 9.2527, 9.2527 and 6.3938 Å and the angles 90.00°, 90.00° and 90.00°. Symmetry generates all atoms from Ba at (0.2148, 0.2500, 0.1250), Hf at (0.0000, 0.0000, 0.5000) and V at (0.0000, 0.0000, 0.0000).

The energy above the most stable polymorph in this dataset comes out at 154 meV per atom. The formation energy comes out at 1.2582 eV per atom.

---

[19]
First-principles (GGA-PBE) data for crystalline BaHf3V at its relaxed geometry, as listed in Alexandria.

The structure belongs to space group Pm-3m (No. 221); the cell edges are 5.2436, 5.2436 and 5.2436 Å and the angles 90.00°, 90.00° and 90.00°. Symmetry generates all atoms from Ba at (0.0000, 0.0000, 0.0000), Hf at (0.0000, 0.0000, 0.5000) and V at (0.5000, 0.5000, 0.5000).

The energy above the most stable polymorph in this dataset comes out at 1568 meV per atom. The formation energy comes out at 2.2889 eV per atom.

---

[20]
First-principles (GGA-PBE) data for crystalline Ba2HfV at its relaxed geometry, as listed in Alexandria.

The structure belongs to space group Fm-3m (No. 225); the cell edges are 8.1201, 8.1201 and 8.1201 Å and the angles 90.00°, 90.00° and 90.00°. Symmetry generates all atoms from Ba at (0.2500, 0.2500, 0.2500), Hf at (0.0000, 0.0000, 0.0000) and V at (0.0000, 0.0000, 0.5000).

The energy above the most stable polymorph in this dataset comes out at 0 meV per atom. The formation energy comes out at 1.1045 eV per atom.

---

The records above yield ρ values of 8.49, 6.23, 9.01, 8.33, 9.36, 7.50, 6.29, 8.57, 7.65, 7.38, 6.56, 5.21, 7.93, 7.40, 6.09, 5.73, 8.93, 6.12, 8.34, 6.25 g/cm3, respectively.